HfPt5Rh4 after structural relaxation, computed with GGA-PBE.

Output
Formation energy (meV per atom): -126
Space-group type: No. 12

Cell: 4.0268 6.8626 7.1195 Å, 117.73 106.43 90.00°
Sites, in units of the cell vectors:
Rh  0.3240  0.5757  0.6480
Rh  0.9751  0.7261  0.9502
Rh  0.6760  0.4243  0.3520
Rh  0.0249  0.2739  0.0498
Pt  0.8313  0.2816  0.6627
Pt  0.1725  0.1179  0.3450
Pt  0.1687  0.7184  0.3373
Pt  0.5000  0.5000  0.0000
Pt  0.8275  0.8821  0.6550
Hf  0.5000  0.0000  0.0000


Hf5PtRh2 after structural relaxation, computed with GGA-PBE.

Output
Formation energy (meV per atom): -664
Space-group type: No. 140

Cell: 7.3900 7.3916 7.6891 Å, 118.73 118.72 90.00°
Sites, in units of the cell vectors:
Hf  0.8028  0.9933  0.2961
Hf  0.6972  0.1972  0.7039
Hf  0.0000  0.0000  0.0000
Hf  0.5000  0.5000  0.0000
Hf  0.3028  0.8028  0.2961
Hf  0.9933  0.4933  0.2961
Hf  0.1972  0.0067  0.7039
Hf  0.0067  0.5067  0.7039
Hf  0.4933  0.3028  0.2961
Hf  0.5067  0.6972  0.7039
Pt  0.2500  0.2500  0.5000
Pt  0.7500  0.7500  0.5000
Rh  0.3641  0.8642  0.0000
Rh  0.8641  0.6358  0.0000
Rh  0.6359  0.1358  0.0000
Rh  0.1359  0.3642  0.0000